Below is Ba2AcBi3Pt4 after structural relaxation, with properties calculated at the GGA-PBE level.

POSCAR file:
```
Ba2AcBi3Pt4
1.0
4.998 0.000 0.000
0.000 4.998 0.000
0.000 0.000 11.554
Ba Ac Bi Pt
2 1 3 4
direct
0.000 0.500 0.218
0.500 0.000 0.782
0.000 0.000 0.500
0.000 0.500 0.886
0.500 0.000 0.114
0.500 0.500 0.500
0.000 0.000 0.000
0.000 0.500 0.645
0.500 0.000 0.355
0.500 0.500 0.000
```

## Properties
* DFT total energy: -5.071 eV/atom
* ΔE_f: -67 kJ/mol of atoms